The following is a PBE calculation of a relaxed Ac2PrPaAs4 crystal, from Alexandria via LeMat-Bulk.

Properties
Total energy: -6.492 eV/atom
ρ: 8.0 Mg/m³
Formation energy from the elements: -1356 meV/atom
DOS(E_F): 5.71 states/eV per cell

```
Ac2PrPaAs4
1.0
7.5180 0.0000 0.0000
0.0000 4.3479 0.0000
-2.5014 0.0000 7.1719
Ac Pr Pa As
2 1 1 4
Direct
0.0000 0.0000 0.0000
0.5000 0.5000 0.0000
0.0000 0.5000 0.5000
0.5000 0.0000 0.5000
0.2551 0.0000 0.7287
0.2686 0.5000 0.2771
0.7314 0.5000 0.7229
0.7449 0.0000 0.2713
```


The following is a PBE calculation of a relaxed Ac2PaAs3Pt4 crystal, from Alexandria via LeMat-Bulk.

Properties
Total energy: -6.466 eV/atom
ρ: 12.6 Mg/m³
Formation energy from the elements: -884 meV/atom
DOS(E_F): 8.10 states/eV per cell

```
Ac2PaAs3Pt4
1.0
4.3263 0.0000 0.0000
0.0000 4.3263 0.0000
0.0000 0.0000 11.8985
Ac Pa As Pt
2 1 3 4
Direct
0.0000 0.5000 0.2267
0.5000 0.0000 0.7733
0.0000 0.0000 0.5000
0.0000 0.5000 0.8817
0.5000 0.0000 0.1183
0.5000 0.5000 0.5000
0.0000 0.0000 0.0000
0.0000 0.5000 0.6670
0.5000 0.0000 0.3330
0.5000 0.5000 0.0000
```


The following is a PBE calculation of a relaxed AcPaAs2Rh2 crystal, from Alexandria via LeMat-Bulk.

Properties
Total energy: -7.354 eV/atom
ρ: 10.4 Mg/m³
Formation energy from the elements: -1086 meV/atom
DOS(E_F): 1.57 states/eV per cell

```
AcPaAs2Rh2
1.0
4.3294 0.0000 0.0000
-2.1647 3.7493 0.0000
0.0000 0.0000 7.9719
Ac Pa As Rh
1 1 2 2
Direct
0.0000 0.0000 0.0000
0.0000 0.0000 0.5000
0.3333 0.6667 0.2557
0.6667 0.3333 0.7443
0.3333 0.6667 0.7005
0.6667 0.3333 0.2995
```


The following is a PBE calculation of a relaxed Ac2PaAs3Rh4 crystal, from Alexandria via LeMat-Bulk.

Properties
Total energy: -7.009 eV/atom
ρ: 10.5 Mg/m³
Formation energy from the elements: -902 meV/atom
DOS(E_F): 9.12 states/eV per cell

```
Ac2PaAs3Rh4
1.0
4.3232 0.0000 0.0000
0.0000 4.3232 0.0000
0.0000 0.0000 11.2268
Ac Pa As Rh
2 1 3 4
Direct
0.0000 0.5000 0.2256
0.5000 0.0000 0.7744
0.0000 0.0000 0.5000
0.0000 0.5000 0.8743
0.5000 0.0000 0.1257
0.5000 0.5000 0.5000
0.0000 0.0000 0.0000
0.0000 0.5000 0.6463
0.5000 0.0000 0.3537
0.5000 0.5000 0.0000
```


The following is a PBE calculation of a relaxed Ac2PaAs3Rh12 crystal, from Alexandria via LeMat-Bulk.

Properties
Total energy: -6.886 eV/atom
ρ: 9.8 Mg/m³
Formation energy from the elements: -226 meV/atom
DOS(E_F): 9.59 states/eV per cell

```
Ac2PaAs3Rh12
1.0
4.1445 2.3928 6.1109
-4.1445 2.3928 6.1109
0.0000 -4.7857 6.1109
Ac Pa As Rh
2 1 3 12
Direct
0.1052 0.1052 0.1052
0.8948 0.8948 0.8948
0.5000 0.5000 0.5000
0.0000 0.5000 0.5000
0.5000 0.0000 0.5000
0.5000 0.5000 0.0000
0.1210 0.6357 0.6357
0.1460 0.1460 0.5984
0.1460 0.5984 0.1460
0.3643 0.3643 0.8790
0.3643 0.8790 0.3643
0.4016 0.8540 0.8540
0.5984 0.1460 0.1460
0.6357 0.1210 0.6357
0.6357 0.6357 0.1210
0.8540 0.4016 0.8540
0.8540 0.8540 0.4016
0.8790 0.3643 0.3643
```


The following is a PBE calculation of a relaxed AcPaAsS crystal, from Alexandria via LeMat-Bulk.

Properties
Total energy: -6.661 eV/atom
ρ: 9.8 Mg/m³
DOS(E_F): 17.09 states/eV per cell

```
AcPaAsS
1.0
7.2733 0.0000 0.0000
0.0000 7.2733 0.0000
0.0000 0.0000 7.2733
Ac Pa As S
4 4 4 4
Direct
0.0000 0.0000 0.0000
0.0000 0.5000 0.5000
0.5000 0.0000 0.5000
0.5000 0.5000 0.0000
0.0000 0.0000 0.5000
0.0000 0.5000 0.0000
0.5000 0.0000 0.0000
0.5000 0.5000 0.5000
0.2500 0.2500 0.2500
0.2500 0.7500 0.7500
0.7500 0.2500 0.7500
0.7500 0.7500 0.2500
0.2500 0.2500 0.7500
0.2500 0.7500 0.2500
0.7500 0.2500 0.2500
0.7500 0.7500 0.7500
```


The following is a PBE calculation of a relaxed AcSm2PaAs4 crystal, from Alexandria via LeMat-Bulk.

Properties
Total energy: -6.547 eV/atom
ρ: 8.0 Mg/m³
Formation energy from the elements: -1342 meV/atom
DOS(E_F): 10.36 states/eV per cell

```
AcSm2PaAs4
1.0
6.0288 0.0000 0.0000
0.0000 6.0288 0.0000
0.0000 0.0000 12.0592
Ac Sm Pa As
2 4 2 8
Direct
0.0000 0.0000 0.0000
0.5000 0.5000 0.5000
0.0000 0.0000 0.5000
0.0000 0.5000 0.2500
0.5000 0.0000 0.7500
0.5000 0.5000 0.0000
0.0000 0.5000 0.7500
0.5000 0.0000 0.2500
0.0000 0.0000 0.2567
0.0000 0.0000 0.7433
0.0000 0.5000 0.5106
0.0000 0.5000 0.9894
0.5000 0.0000 0.0106
0.5000 0.0000 0.4894
0.5000 0.5000 0.2433
0.5000 0.5000 0.7567
```


The following is a PBE calculation of a relaxed Ac3Sm2PaAs6 crystal, from Alexandria via LeMat-Bulk.

Properties
Total energy: -6.346 eV/atom
ρ: 7.9 Mg/m³
Formation energy from the elements: -1416 meV/atom
DOS(E_F): 5.06 states/eV per cell

```
Ac3Sm2PaAs6
1.0
3.7529 -6.4991 0.0000
3.7529 6.4991 0.0000
-2.4980 0.0000 7.1582
Ac Sm Pa As
3 2 1 6
Direct
0.0000 0.0000 0.0000
0.3307 0.6693 0.0000
0.6693 0.3307 0.0000
0.1658 0.8342 0.5000
0.8342 0.1658 0.5000
0.5000 0.5000 0.5000
0.1017 0.4251 0.2745
0.2532 0.2532 0.7271
0.4251 0.1017 0.2745
0.5749 0.8983 0.7255
0.7468 0.7468 0.2729
0.8983 0.5749 0.7255
```